Material: PuUOs
Method: DFT, PBE-GGA
State: relaxed

The space group is I4mm (No. 107) and the conventional cell measures 3.4443, 3.4443 and 9.8766 Å, with angles of 90.00, 90.00 and 90.00 degrees. The asymmetric unit holds Pu at (0.0000, 0.0000, 0.0000), U at (0.0000, 0.0000, 0.6700) and Os at (0.0000, 0.0000, 0.3209).

Its crystal system is tetragonal. For the excess energy over the best structure of this formula in the dataset, the calculation gives 44 meV/atom. The value obtained for the volume is 19.528 Å³/atom. The mass density is 19.06 g/cm³. For the magnetic moment, the calculation gives 1.932 μB per atom. The formation energy comes out at -46 meV/atom.